## CdReHg2 (PBE-GGA)

Data for an optimized crystal structure of CdReHg2.

```
CdReHg2
1.0
2.8332 0.0000 0.0000
0.0000 4.8679 0.0000
0.0000 0.0000 13.2046
Cd Re Hg
2 2 4
Direct
0.0000 0.0000 0.0000
0.5000 0.5000 0.5000
0.0000 0.5000 0.3118
0.5000 0.0000 0.8118
0.0000 0.0000 0.6221
0.0000 0.5000 0.8177
0.5000 0.0000 0.3177
0.5000 0.5000 0.1221
```

- total magnetic moment (μB/f.u.) = 0.50
- energy of formation (eV/atom) = 0.63
- calculated volume (A^3/atom) = 22.8